The following is a PBE calculation of a relaxed PuPa2TlO8 crystal, from Alexandria via LeMat-Bulk.

Computed properties:
For the formation energy without anion corrections, the calculation gives -2.916 eV/atom. The symmetry is No. 119. Its total magnetization is 4.28 μB per cell.

Lattice parameters (Å, degrees): 6.6819 6.6819 6.6819 131.60 131.60 70.86
Positions (direct):
Pu1 0.0000 0.0000 0.0000
Pa1 0.2500 0.7500 0.5000
Pa2 0.5000 0.5000 0.0000
Tl1 0.7500 0.2500 0.5000
O1 0.1452 0.1205 0.5081
O2 0.1452 0.6371 0.0248
O3 0.3629 0.3876 0.5081
O4 0.3629 0.8548 0.9752
O5 0.6124 0.1205 0.9752
O6 0.6124 0.6371 0.4919
O7 0.8795 0.3876 0.0248
O8 0.8795 0.8548 0.4919

***

The following is a PBE calculation of a relaxed PuPaTlO6 crystal, from Alexandria via LeMat-Bulk.

Computed properties:
For the formation energy without anion corrections, the calculation gives -2.615 eV/atom. The symmetry is No. 74. Its total magnetization is 4.00 μB per cell.

Lattice parameters (Å, degrees): 7.9827 7.9827 7.9827 120.40 120.04 89.62
Positions (direct):
Pu1 0.5000 0.0000 0.0000
Pu2 0.5000 0.5000 0.5000
Pa1 0.0000 0.0000 0.0000
Pa2 0.5000 0.0000 0.5000
Tl1 0.0621 0.3121 0.7500
Tl2 0.9379 0.6879 0.2500
O1 0.1727 0.9227 0.2500
O2 0.1945 0.3218 0.2581
O3 0.1945 0.9364 0.8727
O4 0.4363 0.0636 0.7581
O5 0.4363 0.6782 0.3727
O6 0.4435 0.6935 0.7500
O7 0.5565 0.3065 0.2500
O8 0.5637 0.3218 0.6273
O9 0.5637 0.9364 0.2419
O10 0.8055 0.0636 0.1273
O11 0.8055 0.6782 0.7419
O12 0.8273 0.0773 0.7500